# CoCu4Os GGA-PBE relaxed
# E_tot in eV per cell: -129.439
# Fermi-level density of states in states/eV/cell: 7.86
# Energy of formation in eV per formula unit: 2.361
data_CoCu4Os
_cell_length_a 6.6567
_cell_length_b 6.6567
_cell_length_c 6.6567
_cell_angle_alpha 90.00
_cell_angle_beta 90.00
_cell_angle_gamma 90.00
_space_group_name_H-M_alt 'F -4 3 m'
_space_group_IT_number 216
_space_group_name_Hall 'F -4 2 3'
loop_
_atom_site_label
_atom_site_type_symbol
_atom_site_fract_x
_atom_site_fract_y
_atom_site_fract_z
Co1 Co 0.0000 0.0000 0.0000
Cu1 Cu 0.1250 0.1250 0.6250
Os1 Os 0.2500 0.2500 0.2500